Record 1
Compound: CaIrO3
Source: the Alexandria database
Functional: PBEsol
Structure: relaxed

## Properties
Space group = Pnma
Crystal system = orthorhombic
Formation energy without anion corrections = -1.69 eV per atom

a b c (Å): 5.265 5.637 7.628
angles (deg): 90.00 90.00 90.00
Fractional coordinates of all 20 atoms:
Ca 0.521 0.066 0.250
Ca 0.479 0.934 0.750
Ca 0.979 0.566 0.250
Ca 0.021 0.434 0.750
Ir 0.000 0.000 0.500
Ir 0.000 0.000 0.000
Ir 0.500 0.500 0.500
Ir 0.500 0.500 0.000
O 0.312 0.196 0.946
O 0.610 0.544 0.750
O 0.390 0.456 0.250
O 0.812 0.304 0.446
O 0.812 0.304 0.054
O 0.688 0.804 0.054
O 0.188 0.696 0.554
O 0.110 0.956 0.250
O 0.688 0.804 0.446
O 0.188 0.696 0.946
O 0.312 0.196 0.554
O 0.890 0.044 0.750

---

Record 2
Compound: CaCuPb2
Source: the Alexandria database
Functional: PBEsol
Structure: relaxed

## Properties
Space group = P2/m
Energy of formation from the pure elements = -0.42 eV per formula unit
Crystal system = monoclinic

a b c (Å): 3.712 4.430 6.207
angles (deg): 90.00 101.52 90.00
Fractional coordinates of all 4 atoms:
Ca 0.500 0.500 0.000
Cu 0.000 0.500 0.500
Pb 0.844 0.000 0.719
Pb 0.156 0.000 0.281

---

Record 3
Compound: IO2
Source: the Alexandria database
Functional: PBEsol
Structure: relaxed

## Properties
Space group = P2_1/c
Crystal system = monoclinic
Formation energy without anion corrections = -0.28 eV per atom

a b c (Å): 6.754 7.615 8.053
angles (deg): 116.02 90.00 90.00
Fractional coordinates of all 24 atoms:
I 0.242 0.675 0.356
I 0.742 0.325 0.144
I 0.758 0.325 0.644
I 0.258 0.675 0.856
I 0.371 0.131 0.807
I 0.871 0.869 0.693
I 0.629 0.869 0.193
I 0.129 0.131 0.307
O 0.049 0.311 0.558
O 0.549 0.689 0.942
O 0.951 0.689 0.442
O 0.451 0.311 0.058
O 0.049 0.311 0.208
O 0.549 0.689 0.292
O 0.951 0.689 0.792
O 0.451 0.311 0.708
O 0.153 0.687 0.147
O 0.653 0.313 0.353
O 0.847 0.313 0.853
O 0.347 0.687 0.647
O 0.244 0.945 0.990
O 0.744 0.055 0.510
O 0.756 0.055 0.010
O 0.256 0.945 0.490

---

| no. | volume (Å³ per cell) | M_tot (Bohr magnetons per cell) |
| --- | --- | --- |
| 1 | 226.4 | 0.01 |
| 2 | 100.0 | 0.00 |
| 3 | 372.2 | 0.00 |